1.
First-principles (PBE) data for a geometry-optimized Bi4IrPb2 structure, as listed in Alexandria via LeMat-Bulk. Values from VASP.

```
&SYSTEM
  ibrav = 0, nat = 7, ntyp = 3
/
ATOMIC_SPECIES
Bi 208.98 Bi.upf
Ir 192.22 Ir.upf
Pb 207.20 Pb.upf
ATOMIC_POSITIONS crystal
Bi 0.1969 0.0000 0.2109
Bi 0.2654 0.5000 0.5813
Bi 0.7346 0.5000 0.4187
Bi 0.8031 0.0000 0.7891
Ir 0.5000 0.0000 0.5000
Pb 0.2280 0.5000 0.9226
Pb 0.7720 0.5000 0.0774
CELL_PARAMETERS angstrom
6.3327 0.0000 0.0000
0.0000 4.1065 0.0000
-2.9496 0.0000 8.6395
```

Properties
volume	224.7	Å³/cell
crystal system	monoclinic
raw total energy	-4.44	eV/atom
calculated formation energy	101.5	meV per atom
SG	P2/m, No. 10


2.
First-principles (PBE) data for a geometry-optimized BiIr2Pb2 structure, as listed in Alexandria via LeMat-Bulk. Values from VASP.

```
&SYSTEM
  ibrav = 0, nat = 10, ntyp = 3
/
ATOMIC_SPECIES
Bi 208.98 Bi.upf
Ir 192.22 Ir.upf
Pb 207.20 Pb.upf
ATOMIC_POSITIONS crystal
Bi 0.0000 0.0000 0.0000
Bi 0.5000 0.5000 0.0000
Ir 0.1459 0.3541 0.0000
Ir 0.3541 0.8541 0.0000
Ir 0.6459 0.1459 0.0000
Ir 0.8541 0.6459 0.0000
Pb 0.1493 0.6493 0.5000
Pb 0.3507 0.1493 0.5000
Pb 0.6493 0.8507 0.5000
Pb 0.8507 0.3507 0.5000
CELL_PARAMETERS angstrom
8.2239 0.0000 0.0000
0.0000 8.2239 0.0000
0.0000 0.0000 3.2251
```

Properties
volume	218.1	Å³/cell
crystal system	tetragonal
raw total energy	-5.43	eV/atom
calculated formation energy	370.3	meV per atom
SG	P4/mbm, No. 127


3.
First-principles (PBE) data for a geometry-optimized BiIr3Pb structure, as listed in Alexandria via LeMat-Bulk. Values from VASP.

```
&SYSTEM
  ibrav = 0, nat = 5, ntyp = 3
/
ATOMIC_SPECIES
Bi 208.98 Bi.upf
Ir 192.22 Ir.upf
Pb 207.20 Pb.upf
ATOMIC_POSITIONS crystal
Bi 0.0000 0.0000 0.0000
Ir 0.0000 0.0000 0.5000
Ir 0.0000 0.5000 0.0000
Ir 0.5000 0.0000 0.0000
Pb 0.5000 0.5000 0.5000
CELL_PARAMETERS angstrom
5.0421 0.0000 0.0000
0.0000 5.0421 0.0000
0.0000 0.0000 5.0421
```

Properties
volume	128.2	Å³/cell
crystal system	cubic
raw total energy	-5.14	eV/atom
calculated formation energy	1693.5	meV per atom
SG	Pm-3m, No. 221


4.
First-principles (PBE) data for a geometry-optimized BiIrPb2 structure, as listed in Alexandria via LeMat-Bulk. Values from VASP.

```
&SYSTEM
  ibrav = 0, nat = 8, ntyp = 3
/
ATOMIC_SPECIES
Bi 208.98 Bi.upf
Ir 192.22 Ir.upf
Pb 207.20 Pb.upf
ATOMIC_POSITIONS crystal
Bi 0.0000 0.0000 0.0000
Bi 0.7500 0.2500 0.5000
Ir 0.2500 0.7500 0.5000
Ir 0.5000 0.5000 0.0000
Pb 0.1862 0.6250 0.0612
Pb 0.3750 0.4362 0.5612
Pb 0.5638 0.1250 0.9388
Pb 0.8750 0.8138 0.4388
CELL_PARAMETERS angstrom
-3.2684 3.2684 6.7358
3.2684 -3.2684 6.7358
3.2684 3.2684 -6.7358
```

Properties
volume	287.8	Å³/cell
crystal system	tetragonal
raw total energy	-4.52	eV/atom
calculated formation energy	521.8	meV per atom
SG	I-42d, No. 122


5.
First-principles (PBE) data for a geometry-optimized Bi2IrPb structure, as listed in Alexandria via LeMat-Bulk. Values from VASP.

```
&SYSTEM
  ibrav = 0, nat = 4, ntyp = 3
/
ATOMIC_SPECIES
Bi 208.98 Bi.upf
Ir 192.22 Ir.upf
Pb 207.20 Pb.upf
ATOMIC_POSITIONS crystal
Bi 0.1108 0.1108 0.1108
Bi 0.8892 0.8892 0.8892
Ir 0.5000 0.5000 0.5000
Pb 0.0000 0.0000 0.0000
CELL_PARAMETERS angstrom
1.8832 1.0873 10.0443
-1.8832 1.0873 10.0443
0.0000 -2.1745 10.0443
```

Properties
volume	123.4	Å³/cell
crystal system	trigonal
raw total energy	-4.92	eV/atom
calculated formation energy	159.0	meV per atom
SG	R-3m, No. 166


6.
First-principles (PBE) data for a geometry-optimized Bi2IrPb structure, as listed in Alexandria via LeMat-Bulk. Values from VASP.

```
&SYSTEM
  ibrav = 0, nat = 8, ntyp = 3
/
ATOMIC_SPECIES
Bi 208.98 Bi.upf
Ir 192.22 Ir.upf
Pb 207.20 Pb.upf
ATOMIC_POSITIONS crystal
Bi 0.1479 0.0574 0.2924
Bi 0.1479 0.4426 0.2924
Bi 0.8521 0.5574 0.7076
Bi 0.8521 0.9426 0.7076
Ir 0.2509 0.7500 0.5022
Ir 0.7491 0.2500 0.4978
Pb 0.4145 0.2500 0.8340
Pb 0.5855 0.7500 0.1660
CELL_PARAMETERS angstrom
4.0805 0.0000 0.0000
0.0000 8.5848 0.0000
-2.0023 0.0000 6.1478
```

Properties
volume	215.4	Å³/cell
crystal system	monoclinic
raw total energy	-5.02	eV/atom
calculated formation energy	59.6	meV per atom
SG	P2_1/m, No. 11


7.
First-principles (PBE) data for a geometry-optimized BiIr2RuPb structure, as listed in Alexandria via LeMat-Bulk. Values from VASP.

```
&SYSTEM
  ibrav = 0, nat = 5, ntyp = 4
/
ATOMIC_SPECIES
Bi 208.98 Bi.upf
Ir 192.22 Ir.upf
Ru 101.07 Ru.upf
Pb 207.20 Pb.upf
ATOMIC_POSITIONS crystal
Bi 0.0000 0.0000 0.0000
Ir 0.0000 0.5000 0.0000
Ir 0.5000 0.0000 0.0000
Ru 0.0000 0.0000 0.5000
Pb 0.5000 0.5000 0.5000
CELL_PARAMETERS angstrom
5.0249 0.0000 0.0000
0.0000 5.0249 0.0000
0.0000 0.0000 5.0721
```

Properties
volume	128.1	Å³/cell
crystal system	tetragonal
raw total energy	-5.22	eV/atom
calculated formation energy	1695.4	meV per atom
SG	P4/mmm, No. 123


8.
First-principles (PBE) data for a geometry-optimized BiSb2IrPb structure, as listed in Alexandria via LeMat-Bulk. Values from VASP.

```
&SYSTEM
  ibrav = 0, nat = 5, ntyp = 4
/
ATOMIC_SPECIES
Bi 208.98 Bi.upf
Sb 121.76 Sb.upf
Ir 192.22 Ir.upf
Pb 207.20 Pb.upf
ATOMIC_POSITIONS crystal
Bi 0.0000 0.0000 0.0000
Sb 0.0000 0.5000 0.5000
Sb 0.5000 0.0000 0.5000
Ir 0.5000 0.5000 0.0000
Pb 0.0000 0.0000 0.5000
CELL_PARAMETERS angstrom
5.5930 0.0000 0.0000
0.0000 5.5930 0.0000
0.0000 0.0000 5.7468
```

Properties
volume	179.8	Å³/cell
crystal system	tetragonal
raw total energy	-3.12	eV/atom
formation energy (no corrections)	1.82	eV/atom
SG	P4/mmm, No. 123


Look up the raw total energy of the fourth one. -4.52 eV/atom


Which of these has the lowest volume? number 5


Which value of volume does entry 2 give? 218.1 Å³/cell


The lowest volume belongs to which entry? number 5